Here is Cu7AgSb2Au2 after structural relaxation from Alexandria via LeMat-Bulk. Energies are from PBE.

Values from the calculation:
* total magnetization: 0.00 μB/f.u.
* symmetry: C2/m
* energy: -44.94 eV per cell
* formation energy from raw total energies: 0.115 eV/atom

Cell: 3.718 3.718 14.472 Å, 82.60 82.60 89.93°
Fractional positions:
Sb 0.821 0.821 0.361
Sb 0.179 0.179 0.639
Cu 0.500 0.500 0.000
Cu 0.068 0.568 0.865
Cu 0.932 0.432 0.135
Cu 0.273 0.273 0.459
Au 0.367 0.367 0.269
Cu 0.568 0.068 0.865
Au 0.633 0.633 0.731
Cu 0.727 0.727 0.541
Ag 0.000 0.000 0.000
Cu 0.432 0.932 0.135